<P>
LiMgPt after structural relaxation, computed with GGA-PBEsol.

```
3
Lattice="-1.2136 -2.4079 0.9870 3.3419 -1.0382 1.5761 -2.0829 3.6392 2.1407" Properties=species:S:1:pos:R:3 pbc="T T T"
Mg 0.7100 -1.0568 2.4716
Pt -0.6815 1.2819 2.2895
Li 0.0626 0.1610 4.6465
```

Output
* density of states at the Fermi level: 0.81 states/eV/f.u.



<Q>
LiMgPt after structural relaxation, computed with GGA-PBEsol.

```
3
Lattice="-2.5550 1.0894 -1.6702 -1.8996 -2.1553 1.5001 1.4279 3.3818 3.1660" Properties=species:S:1:pos:R:3 pbc="T T T"
Mg -0.5204 1.8545 2.0057
Pt -2.4820 0.3749 0.8968
Li -0.0242 0.0864 0.0935
```

Output
* density of states at the Fermi level: 1.20 states/eV/f.u.



Name the most stable of them. <P>.



<P>
LiMgRh after structural relaxation, computed with GGA-PBEsol.

```
3
Lattice="-3.1895 0.0998 -0.2695 -0.2799 -0.3985 3.1652 1.8200 4.3133 -0.9161" Properties=species:S:1:pos:R:3 pbc="T T T"
Mg 0.0555 2.7079 0.3458
Rh -1.7072 1.1917 1.6191
Li 0.0024 0.1150 0.0147
```

Output
* density of states at the Fermi level: 1.11 states/eV/f.u.



<Q>
LiMgRh after structural relaxation, computed with GGA-PBEsol.

```
3
Lattice="2.7728 -0.0210 0.0000 -1.1110 2.5405 0.0000 -0.8309 -1.2597 6.6808" Properties=species:S:1:pos:R:3 pbc="T T T"
Li 0.0000 0.0000 0.2133
Mg 0.0000 0.0000 4.2658
Rh 0.8309 1.2597 2.2017
```

Output
* density of states at the Fermi level: 1.61 states/eV/f.u.



Name the most stable of them. <P>.



<P>
LiMgRh after structural relaxation, computed with GGA-PBEsol.

```
3
Lattice="-2.4547 -0.0953 -1.4233 0.0079 -0.2046 2.8317 -0.5384 6.6618 0.4828" Properties=species:S:1:pos:R:3 pbc="T T T"
Li -0.0171 0.2114 0.0153
Mg -1.1566 4.0840 1.7216
Rh -1.8115 2.0665 0.1544
```

Output
* density of states at the Fermi level: 1.60 states/eV/f.u.



<Q>
LiMgRh after structural relaxation, computed with GGA-PBEsol.

```
3
Lattice="2.7758 0.0000 0.0000 0.0000 4.2457 0.0000 0.0000 -2.1229 3.6769" Properties=species:S:1:pos:R:3 pbc="T T T"
Mg 1.9185 2.1229 1.2256
Rh 0.7439 0.0000 2.4513
Li 0.1134 0.0000 0.0000
```

Output
* density of states at the Fermi level: 2.47 states/eV/f.u.



Name the most stable of them. <Q>.



<P>
Li2MgSe after structural relaxation, computed with GGA-PBEsol.

```
4
Lattice="3.9617 0.0000 0.0000 0.0000 4.1551 0.0000 0.0000 0.0000 4.1551" Properties=species:S:1:pos:R:3 pbc="T T T"
Mg 1.9808 2.0775 2.0775
Se 1.9808 0.0000 0.0000
Li 0.0000 0.0000 2.0775
Li 0.0000 2.0775 0.0000
```

Output
* density of states at the Fermi level: 0.32 states/eV/f.u.



<Q>
Li2MgSe after structural relaxation, computed with GGA-PBEsol.

```
4
Lattice="3.5469 0.0254 0.0000 -0.0287 3.5468 0.0000 0.0000 0.0000 5.6846" Properties=species:S:1:pos:R:3 pbc="T T T"
Mg 1.7591 1.7861 2.8423
Se 1.7591 1.7861 0.0000
Li 0.0000 0.0000 1.1657
Li 0.0000 0.0000 4.5189
```

Output
* density of states at the Fermi level: 0.58 states/eV/f.u.



Name the most stable of them. <P>.



<P>
SrLi2Mg after structural relaxation, computed with GGA-PBEsol.

```
4
Lattice="-3.3721 -1.1511 -1.1544 -0.8171 -1.1016 3.4854 -2.9802 7.1611 1.5647" Properties=species:S:1:pos:R:3 pbc="T T T"
Sr -2.2314 5.3617 1.1715
Mg -3.4137 2.0432 1.8580
Li -2.2762 -0.6899 1.2609
Li -0.7382 1.7739 0.3876
```

Output
* density of states at the Fermi level: 2.48 states/eV/f.u.



<Q>
SrLi2Mg after structural relaxation, computed with GGA-PBEsol.

```
4
Lattice="4.1759 0.0000 0.0000 0.0000 5.3459 -0.2754 -2.0880 -2.4100 5.1959" Properties=species:S:1:pos:R:3 pbc="T T T"
Sr 2.0880 0.1297 2.4871
Mg 2.0880 2.6869 0.0765
Li 2.0880 2.9202 4.6594
Li 0.0000 2.8079 2.4804
```

Output
* density of states at the Fermi level: 2.65 states/eV/f.u.



<R>
SrLi2Mg after structural relaxation, computed with GGA-PBEsol.

```
4
Lattice="5.3783 0.0000 0.0000 2.6892 4.6578 0.0000 2.6892 1.5526 4.3914" Properties=species:S:1:pos:R:3 pbc="T T T"
Sr 0.0000 0.0000 0.0000
Mg 5.3783 3.1052 2.1957
Li 8.0675 4.6578 3.2935
Li 2.6892 1.5526 1.0978
```

Output
* density of states at the Fermi level: 3.35 states/eV/f.u.



<S>
SrLi2Mg after structural relaxation, computed with GGA-PBEsol.

```
4
Lattice="4.7953 0.0000 0.0000 0.0000 4.7953 0.0000 -2.3976 -2.3976 4.9712" Properties=species:S:1:pos:R:3 pbc="T T T"
Sr 0.0000 2.3976 2.4856
Mg 2.3976 2.3976 0.0000
Li 0.0000 0.0000 0.0000
Li 2.3976 0.0000 2.4856
```

Output
* density of states at the Fermi level: 2.55 states/eV/f.u.



Name the most stable of them. <P>.



<P>
LiMg2Tl after structural relaxation, computed with GGA-PBEsol.

```
4
Lattice="3.4111 0.0000 0.0000 0.0000 3.7085 0.0000 0.0000 0.0000 6.6557" Properties=species:S:1:pos:R:3 pbc="T T T"
Tl 0.0000 0.0000 3.4466
Mg 0.0000 0.0000 6.5555
Mg 1.7056 1.8543 1.7037
Li 1.7056 1.8543 4.9334
```

Output
* density of states at the Fermi level: 1.52 states/eV/f.u.



<Q>
LiMg2Tl after structural relaxation, computed with GGA-PBEsol.

```
4
Lattice="3.2668 0.0000 0.3519 0.0000 4.0917 0.0000 -0.6728 0.0000 6.2992" Properties=species:S:1:pos:R:3 pbc="T T T"
Tl -0.3443 0.0000 3.2279
Mg 2.6000 0.0000 6.5936
Mg 1.4625 2.0459 1.7755
Li 1.1334 2.0459 4.8547
```

Output
* density of states at the Fermi level: 1.49 states/eV/f.u.



<R>
LiMg2Tl after structural relaxation, computed with GGA-PBEsol.

```
4
Lattice="-0.5311 -4.8430 0.4465 3.6325 -2.9927 -1.3360 2.5381 -2.4361 3.3999" Properties=species:S:1:pos:R:3 pbc="T T T"
Tl 1.4099 -2.5680 0.6276
Mg 0.0000 0.0000 0.0000
Mg 4.2296 -7.7039 1.8828
Li 2.8197 -5.1359 1.2552
```

Output
* density of states at the Fermi level: 1.36 states/eV/f.u.



<S>
LiMg2Tl after structural relaxation, computed with GGA-PBEsol.

```
4
Lattice="-0.3345 -4.5513 -1.7028 3.0837 -1.5466 -3.4387 3.4360 -3.2717 1.1029" Properties=species:S:1:pos:R:3 pbc="T T T"
Tl 0.0000 0.0000 0.0000
Mg 1.5463 -2.3424 -1.0097
Mg 4.6388 -7.0272 -3.0290
Li 3.0926 -4.6848 -2.0193
```

Output
* density of states at the Fermi level: 0.98 states/eV/f.u.



Name the most stable of them. <S>.



<P>
LiMg2Tl after structural relaxation, computed with GGA-PBEsol.

```
4
Lattice="4.1807 0.0000 0.0000 0.0000 4.4584 0.0269 0.0000 -0.0299 4.4584" Properties=species:S:1:pos:R:3 pbc="T T T"
Tl 2.0903 0.0000 0.0000
Mg 0.0000 -0.0149 2.2292
Mg 0.0000 2.2292 0.0134
Li 2.0903 2.2143 2.2426
```

Output
* density of states at the Fermi level: 1.53 states/eV/f.u.



<Q>
LiMg2Tl after structural relaxation, computed with GGA-PBEsol.

```
4
Lattice="-2.8985 1.6004 1.4922 0.3827 -2.1193 3.0163 3.7675 4.3919 2.6078" Properties=species:S:1:pos:R:3 pbc="T T T"
Tl -1.2579 -0.2595 2.2542
Mg 2.8041 3.2689 1.9410
Mg 0.9634 1.1230 0.6668
Li 0.6258 1.9365 3.5582
```

Output
* density of states at the Fermi level: 1.32 states/eV/f.u.



Name the most stable of them. <P>.



<P>
LiMgTl after structural relaxation, computed with GGA-PBEsol.

```
6
Lattice="4.8056 -0.0140 0.0118 -2.3911 4.1685 0.0118 -0.0222 -0.0381 6.0692" Properties=species:S:1:pos:R:3 pbc="T T T"
Tl 3.6007 0.6735 1.5291
Tl -1.2083 3.4429 4.5636
Mg 1.2072 2.0773 0.0118
Mg 1.1962 2.0582 3.0463
Li -1.1968 3.4616 1.5291
Li 3.5891 0.6547 4.5636
```

Output
* density of states at the Fermi level: 0.93 states/eV/f.u.



<Q>
LiMgTl after structural relaxation, computed with GGA-PBEsol.

```
3
Lattice="-2.9538 -2.1801 0.2544 1.3272 -2.1014 -2.7042 2.9812 -0.4371 4.2927" Properties=species:S:1:pos:R:3 pbc="T T T"
Tl 1.4655 -1.7426 2.0738
Mg -0.0965 -2.9933 -0.2105
Li 1.3402 -4.7012 1.8226
```

Output
* density of states at the Fermi level: 0.89 states/eV/f.u.



<R>
LiMgTl after structural relaxation, computed with GGA-PBEsol.

```
3
Lattice="3.1927 0.0000 0.0000 0.0000 4.7529 0.0000 0.0000 -2.3764 4.1161" Properties=species:S:1:pos:R:3 pbc="T T T"
Tl 0.8530 0.0000 2.7441
Mg 2.1105 2.3764 1.3720
Li 0.2292 0.0000 0.0000
```

Output
* density of states at the Fermi level: 0.75 states/eV/f.u.



Name the most stable of them. <P>.



<P>
LiMg2W after structural relaxation, computed with GGA-PBEsol.

```
4
Lattice="-0.2557 -0.2178 -2.7590 4.0894 -2.7568 -0.1613 -4.5575 -2.4623 2.0167" Properties=species:S:1:pos:R:3 pbc="T T T"
Li -0.1278 -0.1089 -1.3795
Mg 0.5029 -3.6022 -1.1622
Mg -1.2267 -1.8347 0.2585
W 2.0447 -1.3784 -0.0807
```

Output
* density of states at the Fermi level: 2.50 states/eV/f.u.



<Q>
LiMg2W after structural relaxation, computed with GGA-PBEsol.

```
4
Lattice="2.7616 0.0060 0.0000 -0.9841 2.5803 0.0000 0.0000 0.0000 9.8122" Properties=species:S:1:pos:R:3 pbc="T T T"
Li 0.8887 1.2932 2.5648
Mg 0.0000 0.0000 0.0564
Mg 0.8887 1.2932 7.2242
W 0.0000 0.0000 4.8729
```

Output
* density of states at the Fermi level: 2.36 states/eV/f.u.



<R>
LiMg2W after structural relaxation, computed with GGA-PBEsol.

```
8
Lattice="5.5028 0.0000 0.0000 2.7514 4.9664 0.0000 2.7514 0.0000 4.9664" Properties=species:S:1:pos:R:3 pbc="T T T"
Mg 4.8149 4.8018 2.3186
Mg 4.8149 0.1646 2.6478
Mg 3.4392 2.3186 0.1646
Mg 8.9420 2.6478 4.8018
W 6.8784 2.4832 2.4832
W 0.0000 0.0000 0.0000
Li 4.1271 2.4832 2.4832
Li 2.7514 0.0000 0.0000
```

Output
* density of states at the Fermi level: 4.60 states/eV/f.u.



Name the most stable of them. <Q>.



<P>
LiMg2W after structural relaxation, computed with GGA-PBEsol.

```
4
Lattice="-1.1853 1.5206 -1.9469 -4.5294 -1.8002 1.3517 -0.5290 3.8031 3.2924" Properties=species:S:1:pos:R:3 pbc="T T T"
Li -0.5927 0.7603 -0.9734
Mg -0.2645 1.9015 1.6462
Mg -2.2647 -0.9001 0.6758
W -3.1219 1.7617 1.3486
```

Output
* density of states at the Fermi level: 2.11 states/eV/f.u.



<Q>
LiMg2W after structural relaxation, computed with GGA-PBEsol.

```
4
Lattice="2.7342 0.0000 0.0000 0.0000 5.0097 0.0000 -1.3671 -2.5048 5.0348" Properties=species:S:1:pos:R:3 pbc="T T T"
Li 1.3671 0.0000 2.5238
Mg 0.0000 0.0000 0.0802
Mg 0.0000 2.5048 2.4771
W 0.0000 0.0000 4.9886
```

Output
* density of states at the Fermi level: 1.80 states/eV/f.u.



<R>
LiMg2W after structural relaxation, computed with GGA-PBEsol.

```
4
Lattice="2.6694 0.0000 -0.0096 0.0000 4.5171 0.0000 -1.2050 0.0000 5.7605" Properties=species:S:1:pos:R:3 pbc="T T T"
Li 0.7322 2.2585 2.8755
Mg 1.5634 0.0000 4.3631
Mg -0.0989 0.0000 1.3878
W 1.3347 2.2585 -0.0048
```

Output
* density of states at the Fermi level: 2.96 states/eV/f.u.



Name the most stable of them. <P>.



<P>
LiYMg2 after structural relaxation, computed with GGA-PBEsol.

```
4
Lattice="-2.4606 0.1575 1.9885 -0.0061 -4.8503 0.3765 5.1400 0.2855 3.7623" Properties=species:S:1:pos:R:3 pbc="T T T"
Y -1.2334 -2.3464 1.1825
Mg 1.6997 0.3400 4.4086
Mg 0.9797 0.1029 1.3422
Li 2.5669 -2.2824 2.0694
```

Output
* density of states at the Fermi level: 3.30 states/eV/f.u.



<Q>
LiYMg2 after structural relaxation, computed with GGA-PBEsol.

```
4
Lattice="3.2894 0.0000 0.0000 1.6447 2.8487 0.0000 1.6447 0.9496 10.4138" Properties=species:S:1:pos:R:3 pbc="T T T"
Li 0.0000 0.0000 0.0000
Mg 1.6447 0.9496 2.4267
Mg 4.9342 2.8487 7.9871
Y 3.2894 1.8992 5.2069
```

Output
* density of states at the Fermi level: 3.51 states/eV/f.u.



<R>
LiYMg2 after structural relaxation, computed with GGA-PBEsol.

```
4
Lattice="3.6464 0.0000 0.0000 0.0000 5.2799 0.0000 -1.8232 -2.6400 4.9722" Properties=species:S:1:pos:R:3 pbc="T T T"
Li 1.8232 0.0000 2.2797
Mg 0.0000 0.0000 0.1068
Mg 0.0000 2.6400 2.6482
Y 0.0000 0.0000 4.9097
```

Output
* density of states at the Fermi level: 2.32 states/eV/f.u.



<S>
LiYMg2 after structural relaxation, computed with GGA-PBEsol.

```
4
Lattice="-2.4112 -2.5258 0.3299 1.1321 -0.6557 3.2544 -4.9594 5.0937 2.7514" Properties=species:S:1:pos:R:3 pbc="T T T"
Y -0.6396 -1.5907 1.7921
Mg -3.5519 3.6481 1.9705
Mg -1.4075 1.4456 0.7808
Li -3.1192 0.9561 3.1678
```

Output
* density of states at the Fermi level: 3.51 states/eV/f.u.



Name the most stable of them. <S>.